Record 1
{
  "formula": "Tl2CrSe",
  "functional": "SCAN",
  "state": "PBEsol geometry",
  "vol_a3_per_atom": 24.4,
  "formation_energy_uncorrected_ev_per_atom": 0.25,
  "de_polymorph_ev_per_fu": 1.337,
  "e_tot_ev_per_cell": -182.17,
  "lattice": [[0.0000, 3.6544, 3.6544], [3.6544, 0.0000, 3.6544], [3.6544, 3.6544, 0.0000]],
  "species": ["Tl", "Tl", "Cr", "Se"],
  "frac_coords": [[0.2500, 0.2500, 0.2500], [0.7500, 0.7500, 0.7500], [0.0000, 0.0000, 0.0000], [0.5000, 0.5000, 0.5000]]
}



Record 2
{
  "formula": "LaY2Sc",
  "functional": "SCAN",
  "state": "PBEsol geometry",
  "vol_a3_per_atom": 29.4,
  "de_polymorph_ev_per_fu": 0.030,
  "e_form_ev_per_atom": 0.08,
  "e_tot_ev_per_cell": -112.72,
  "lattice": [[1.7432, 1.0064, 11.1763], [-1.7432, 1.0064, 11.1763], [0.0000, -2.0129, 11.1763]],
  "species": ["La", "Y", "Y", "Sc"],
  "frac_coords": [[0.0000, 0.0000, 0.0000], [0.2454, 0.2454, 0.2454], [0.4933, 0.4933, 0.4933], [0.7476, 0.7476, 0.7476]]
}



Record 3
{
  "formula": "CSe2SBr",
  "functional": "SCAN",
  "state": "PBEsol geometry",
  "vol_a3_per_atom": 17.1,
  "formation_energy_uncorrected_ev_per_atom": 1.49,
  "e_tot_ev_per_cell": -71.89,
  "lattice": [[4.4188, 0.0000, 0.0000], [0.0000, 4.4188, 0.0000], [0.0000, 0.0000, 4.3806]],
  "species": ["C", "Se", "Se", "S", "Br"],
  "frac_coords": [[0.0000, 0.0000, 0.0000], [0.0000, 0.5000, 0.0000], [0.5000, 0.0000, 0.0000], [0.5000, 0.5000, 0.5000], [0.0000, 0.0000, 0.5000]]
}



Record 4
{
  "formula": "Ca2AgW",
  "functional": "SCAN",
  "state": "PBEsol geometry",
  "vol_a3_per_atom": 21.4,
  "de_polymorph_ev_per_fu": 0.026,
  "e_form_ev_per_atom": 0.77,
  "e_tot_ev_per_cell": -117.30,
  "lattice": [[2.8930, 0.0000, 0.0000], [0.0000, 4.6691, 0.0000], [0.0000, 0.0000, 6.3325]],
  "species": ["Ca", "Ca", "Ag", "W"],
  "frac_coords": [[0.0000, 0.0000, 0.2443], [0.0000, 0.0000, 0.7557], [0.5000, 0.5000, 0.5000], [0.5000, 0.5000, 0.0000]]
}



Record 5
{
  "formula": "LaMn2Cd",
  "functional": "SCAN",
  "state": "PBEsol geometry",
  "vol_a3_per_atom": 19.0,
  "e_form_ev_per_atom": 0.11,
  "e_tot_ev_per_cell": -109.60,
  "lattice": [[5.3343, -1.5367, 0.0000], [5.3343, 1.5367, 0.0000], [-1.4087, 0.0000, 4.6323]],
  "species": ["La", "Mn", "Mn", "Cd"],
  "frac_coords": [[0.0000, 0.0000, 0.0000], [0.2180, 0.2180, 0.7670], [0.5167, 0.5167, 0.5042], [0.7785, 0.7785, 0.3340]]
}



Record 6
{
  "formula": "Rb2HF",
  "functional": "SCAN",
  "state": "PBEsol geometry",
  "vol_a3_per_atom": 20.1,
  "de_polymorph_ev_per_fu": 0.000,
  "e_tot_ev_per_cell": -54.46,
  "lattice": [[0.0000, 3.4236, 3.4236], [3.4236, 0.0000, 3.4236], [3.4236, 3.4236, 0.0000]],
  "species": ["Rb", "Rb", "H", "F"],
  "frac_coords": [[0.2500, 0.2500, 0.2500], [0.7500, 0.7500, 0.7500], [0.0000, 0.0000, 0.0000], [0.5000, 0.5000, 0.5000]]
}



Repeat the first record exactly.
{
  "formula": "Tl2CrSe",
  "functional": "SCAN",
  "state": "PBEsol geometry",
  "vol_a3_per_atom": 24.4,
  "formation_energy_uncorrected_ev_per_atom": 0.25,
  "de_polymorph_ev_per_fu": 1.337,
  "e_tot_ev_per_cell": -182.17,
  "lattice": [[0.0000, 3.6544, 3.6544], [3.6544, 0.0000, 3.6544], [3.6544, 3.6544, 0.0000]],
  "species": ["Tl", "Tl", "Cr", "Se"],
  "frac_coords": [[0.2500, 0.2500, 0.2500], [0.7500, 0.7500, 0.7500], [0.0000, 0.0000, 0.0000], [0.5000, 0.5000, 0.5000]]
}